1.
# Er3CuSi2

Er3CuSi2 after structural relaxation (PBE, the Alexandria database).

Cell and atoms, written as extended XYZ:
```
24
Lattice="-2.3021 3.1734 1.3171 -4.5767 0.9240 -10.2253 -8.0830 -7.0988 2.9763" Properties=species:S:1:pos:R:3 pbc="T T T"
Si -7.5592 -1.9556 -5.2533
Si -5.5878 1.4835 -3.6006
Cu -2.2595 -0.0153 -0.6655
Er -7.0094 2.3742 -8.2312
Si -3.0863 -1.3889 1.1989
Si -7.4025 -1.0457 -0.6785
Si -9.3739 -4.4849 -2.3313
Er -7.9524 -5.3756 2.2993
Si -12.1992 -5.3842 -5.1023
Er -9.5102 -2.9552 0.2384
Er -5.6475 -3.0585 0.7451
Cu -7.6135 0.3519 -4.4146
Er -9.3360 -1.5214 -2.9117
Si -11.8754 -1.6124 -7.1307
Er -5.4515 -0.0461 -6.1702
Cu -12.7022 -2.9861 -5.2663
Er -4.9784 0.4952 -0.1544
Er -9.3142 0.0572 -6.6769
Er -5.6257 -1.4799 -3.0201
Si -2.7625 2.3829 -0.8295
Er -2.7786 0.7276 -3.3629
Er -9.9833 -3.4966 -5.7774
Er -12.1831 -3.7290 -2.5689
Cu -7.3482 -3.3533 -1.5172
```

Results
SG: No. 62
Fermi-level density of states in states/eV/f.u.: 4.6
Calculated density in Mg/m³: 7.96
Formation energy (no corrections) in eV/atom: -0.66

***

2.
# Er3CuSi4

Er3CuSi4 after structural relaxation (PBE, the Alexandria database).

Cell and atoms, written as extended XYZ:
```
8
Lattice="-4.0504 1.2037 -0.1289 -0.6305 -2.6445 -4.8820 0.4465 -5.2786 5.9996" Properties=species:S:1:pos:R:3 pbc="T T T"
Si -2.9258 -2.7117 -2.7093
Si -1.3087 -4.0077 3.6980
Si -1.5765 -5.1308 1.6247
Er -0.3153 -1.3222 -2.4410
Er -0.7348 -2.3273 1.3555
Er -3.4997 -4.3921 -0.3669
Cu -2.0252 0.6019 -0.0644
Si -2.6580 -1.5886 -0.6360
```

Results
SG: No. 71
Fermi-level density of states in states/eV/f.u.: 2.9
Calculated density in Mg/m³: 6.62
Formation energy (no corrections) in eV/atom: -0.50